# 1
# RbNaB2H8 PBE relaxed
data_RbNaB2H8
_chemical_formula_sum 'Rb1 Na1 B2 H8'
_cell_length_a 4.505
_cell_length_b 4.505
_cell_length_c 7.763
_cell_angle_alpha 90.00
_cell_angle_beta 90.00
_cell_angle_gamma 120.00
_space_group_name_H-M_alt 'P 1'
_space_group_IT_number 1
loop_
_space_group_symop_operation_xyz
'x,y,z'
loop_
_atom_site_label
_atom_site_type_symbol
_atom_site_fract_x
_atom_site_fract_y
_atom_site_fract_z
Rb1 Rb 0.000 0.000 0.000
Na1 Na 0.000 0.000 0.500
B1 B 0.333 0.667 0.726
B2 B 0.667 0.333 0.274
H1 H 0.045 0.456 0.676
H2 H 0.333 0.667 0.885
H3 H 0.411 0.955 0.676
H4 H 0.456 0.411 0.324
H5 H 0.544 0.589 0.676
H6 H 0.589 0.045 0.324
H7 H 0.667 0.333 0.115
H8 H 0.955 0.544 0.324
# - Total DFT energy (no corrections): -46.80 eV per formula unit
# - Magnetization: 0.0 μB per formula unit
# - Crystal system: trigonal

***

# 2
# Sr2LiCd4Ga3 PBE relaxed
data_Sr2LiCd4Ga3
_chemical_formula_sum 'Sr2 Li1 Cd4 Ga3'
_cell_length_a 4.666
_cell_length_b 4.666
_cell_length_c 11.302
_cell_angle_alpha 90.00
_cell_angle_beta 90.00
_cell_angle_gamma 90.00
_space_group_name_H-M_alt 'P 1'
_space_group_IT_number 1
loop_
_space_group_symop_operation_xyz
'x,y,z'
loop_
_atom_site_label
_atom_site_type_symbol
_atom_site_fract_x
_atom_site_fract_y
_atom_site_fract_z
Sr1 Sr 0.000 0.500 0.248
Sr2 Sr 0.500 0.000 0.752
Li1 Li 0.000 0.000 0.500
Cd1 Cd 0.000 0.000 0.000
Cd2 Cd 0.000 0.500 0.624
Cd3 Cd 0.500 0.000 0.376
Cd4 Cd 0.500 0.500 0.000
Ga1 Ga 0.000 0.500 0.860
Ga2 Ga 0.500 0.000 0.140
Ga3 Ga 0.500 0.500 0.500
# - Total DFT energy (no corrections): -20.98 eV per formula unit
# - Magnetization: 0.0 μB per formula unit
# - Crystal system: tetragonal
# - Formation enthalpy at 0 K: -6.8 kcal/mol of atoms

***

# 3
# Mn2BiSbTe PBE relaxed
data_Mn2BiSbTe
_chemical_formula_sum 'Mn2 Bi1 Sb1 Te1'
_cell_length_a 5.067
_cell_length_b 5.067
_cell_length_c 6.045
_cell_angle_alpha 90.00
_cell_angle_beta 90.00
_cell_angle_gamma 90.00
_space_group_name_H-M_alt 'P 1'
_space_group_IT_number 1
loop_
_space_group_symop_operation_xyz
'x,y,z'
loop_
_atom_site_label
_atom_site_type_symbol
_atom_site_fract_x
_atom_site_fract_y
_atom_site_fract_z
Mn1 Mn 0.000 0.500 0.000
Mn2 Mn 0.500 0.000 0.000
Bi1 Bi 0.000 0.000 0.500
Sb1 Sb 0.500 0.500 0.000
Te1 Te 0.500 0.500 0.500
# - E_form (uncorrected): 0.751 eV/atom
# - Total DFT energy (no corrections): -25.73 eV per formula unit
# - Magnetization: 8.6 μB per formula unit
# - Crystal system: tetragonal